# 1
The following is a PBE-GGA calculation of Ta2VCu after structural relaxation, from Alexandria via LeMat-Bulk. Values from VASP.

Structure (Quantum ESPRESSO input):
```
&SYSTEM
  ibrav = 0, nat = 4, ntyp = 3
/
ATOMIC_SPECIES
Ta 180.95 Ta.upf
V 50.94 V.upf
Cu 63.55 Cu.upf
CELL_PARAMETERS angstrom
0.0000 3.1466 3.1466
3.1466 0.0000 3.1466
3.1466 3.1466 0.0000
ATOMIC_POSITIONS crystal
Ta 0.2500 0.2500 0.2500
Ta 0.7500 0.7500 0.7500
V 0.0000 0.0000 0.0000
Cu 0.5000 0.5000 0.5000
```

Values from the calculation:
Total magnetization: 0.0 μB/f.u.
ΔE to the lowest computed polymorph: 85 meV per atom
SG: Fm-3m (225)
Total energy: -9.079 eV per atom
Formation energy from the elements: 0.15 eV/atom
D(E_F): 5.20 states/eV/f.u.

=====

# 2
The following is a PBE-GGA calculation of TaV2Cu2 after structural relaxation, from Alexandria via LeMat-Bulk. Values from VASP.

Structure (Quantum ESPRESSO input):
```
&SYSTEM
  ibrav = 0, nat = 10, ntyp = 3
/
ATOMIC_SPECIES
Ta 180.95 Ta.upf
V 50.94 V.upf
Cu 63.55 Cu.upf
CELL_PARAMETERS angstrom
7.3396 0.0000 0.0000
0.0000 7.3396 0.0000
0.0000 0.0000 2.6025
ATOMIC_POSITIONS crystal
Ta 0.0000 0.0000 0.0000
Ta 0.5000 0.5000 0.0000
V 0.1769 0.3231 0.5000
V 0.3231 0.8231 0.5000
V 0.6769 0.1769 0.5000
V 0.8231 0.6769 0.5000
Cu 0.1191 0.6191 0.0000
Cu 0.3809 0.1191 0.0000
Cu 0.6191 0.8809 0.0000
Cu 0.8809 0.3809 0.0000
```

Values from the calculation:
Total magnetization: 0.0 μB/f.u.
ΔE to the lowest computed polymorph: 0 meV per atom
SG: P4/mbm (127)
Total energy: -7.411 eV per atom
Formation energy from the elements: 0.25 eV/atom
D(E_F): 4.13 states/eV/f.u.

=====

# 3
The following is a PBE-GGA calculation of Ta2VCu after structural relaxation, from Alexandria via LeMat-Bulk. Values from VASP.

Structure (Quantum ESPRESSO input):
```
&SYSTEM
  ibrav = 0, nat = 8, ntyp = 3
/
ATOMIC_SPECIES
Ta 180.95 Ta.upf
V 50.94 V.upf
Cu 63.55 Cu.upf
CELL_PARAMETERS angstrom
-3.5266 3.5266 2.6705
3.5266 -3.5266 2.6705
3.5266 3.5266 -2.6705
ATOMIC_POSITIONS crystal
Ta 0.1152 0.6250 0.9902
Ta 0.3750 0.3652 0.4902
Ta 0.6348 0.1250 0.0098
Ta 0.8750 0.8848 0.5098
V 0.2500 0.7500 0.5000
V 0.5000 0.5000 0.0000
Cu 0.0000 0.0000 0.0000
Cu 0.7500 0.2500 0.5000
```

Values from the calculation:
Total magnetization: 0.0 μB/f.u.
ΔE to the lowest computed polymorph: 544 meV per atom
SG: I-42d (122)
Total energy: -8.620 eV per atom
Formation energy from the elements: 0.61 eV/atom
D(E_F): 3.64 states/eV/f.u.

=====

# 4
The following is a PBE-GGA calculation of TaVCu2 after structural relaxation, from Alexandria via LeMat-Bulk. Values from VASP.

Structure (Quantum ESPRESSO input):
```
&SYSTEM
  ibrav = 0, nat = 8, ntyp = 3
/
ATOMIC_SPECIES
Ta 180.95 Ta.upf
V 50.94 V.upf
Cu 63.55 Cu.upf
CELL_PARAMETERS angstrom
-3.4733 3.4733 2.4545
3.4733 -3.4733 2.4545
3.4733 3.4733 -2.4545
ATOMIC_POSITIONS crystal
Ta 0.0000 0.0000 0.0000
Ta 0.7500 0.2500 0.5000
V 0.2500 0.7500 0.5000
V 0.5000 0.5000 0.0000
Cu 0.1411 0.1250 0.5161
Cu 0.3750 0.8589 0.9839
Cu 0.6089 0.6250 0.4839
Cu 0.8750 0.3911 0.0161
```

Values from the calculation:
Total magnetization: 0.0 μB/f.u.
ΔE to the lowest computed polymorph: 297 meV per atom
SG: I-42d (122)
Total energy: -6.741 eV per atom
Formation energy from the elements: 0.55 eV/atom
D(E_F): 3.77 states/eV/f.u.

=====

# 5
The following is a PBE-GGA calculation of TaVCu3 after structural relaxation, from Alexandria via LeMat-Bulk. Values from VASP.

Structure (Quantum ESPRESSO input):
```
&SYSTEM
  ibrav = 0, nat = 5, ntyp = 3
/
ATOMIC_SPECIES
Ta 180.95 Ta.upf
V 50.94 V.upf
Cu 63.55 Cu.upf
CELL_PARAMETERS angstrom
4.3540 0.0000 0.0000
0.0000 4.3540 0.0000
0.0000 0.0000 4.3540
ATOMIC_POSITIONS crystal
Ta 0.0000 0.0000 0.0000
V 0.5000 0.5000 0.5000
Cu 0.0000 0.5000 0.5000
Cu 0.5000 0.0000 0.5000
Cu 0.5000 0.5000 0.0000
```

Values from the calculation:
Total magnetization: 1.7 μB/f.u.
ΔE to the lowest computed polymorph: 0 meV per atom
SG: Pm-3m (221)
Total energy: -5.308 eV per atom
Formation energy from the elements: 1.34 eV/atom
D(E_F): 3.86 states/eV/f.u.

=====

# 6
The following is a PBE-GGA calculation of Ta2VCu after structural relaxation, from Alexandria via LeMat-Bulk. Values from VASP.

Structure (Quantum ESPRESSO input):
```
&SYSTEM
  ibrav = 0, nat = 4, ntyp = 3
/
ATOMIC_SPECIES
Ta 180.95 Ta.upf
V 50.94 V.upf
Cu 63.55 Cu.upf
CELL_PARAMETERS angstrom
4.3487 0.0000 0.0000
0.0000 4.3487 0.0000
0.0000 0.0000 3.2770
ATOMIC_POSITIONS crystal
Ta 0.0000 0.5000 0.0000
Ta 0.5000 0.0000 0.0000
V 0.0000 0.0000 0.5000
Cu 0.5000 0.5000 0.5000
```

Values from the calculation:
Total magnetization: 0.0 μB/f.u.
ΔE to the lowest computed polymorph: 34 meV per atom
SG: P4/mmm (123)
Total energy: -9.129 eV per atom
Formation energy from the elements: 0.10 eV/atom
D(E_F): 5.05 states/eV/f.u.